VASP calculation (PBE with a Hubbard U) on an optimized crystal structure of CrFeO4.

Total energy ... -6.732 eV per atom
Size of the total moment ... 4.000 μB/f.u.
Mass density ... 2.8 g/cm³
Space group ... Cmcm (63)

Cell lengths 6.263, 6.263, 5.951 Å; angles 90.00, 90.00, 120.03 degrees
Positions (direct):
Cr1 0.156 0.844 0.750
Cr2 0.844 0.156 0.250
Fe1 0.339 0.661 0.250
Fe2 0.661 0.339 0.750
O1 0.161 0.306 0.250
O2 0.247 0.753 0.515
O3 0.247 0.753 0.985
O4 0.306 0.161 0.750
O5 0.694 0.839 0.250
O6 0.753 0.247 0.015
O7 0.753 0.247 0.485
O8 0.839 0.694 0.750